(1)
DyHoEr3Th | PBE-GGA | optimized geometry

Cell lengths 3.5409, 10.5701, 10.5679 Å; angles 109.24, 90.00, 90.00 degrees
Closest atoms and distances in Å follow each position.
Positions (direct):
Ho 0.2500 0.1220 0.2928  3 Th 3.48-3.50, 7 Er 3.53-3.56, 2 Ho 3.54
Ho 0.7500 0.8780 0.7072  3 Th 3.48-3.50, 7 Er 3.53-3.56, 2 Ho 3.54
Dy 0.2500 0.6266 0.1255  6 Er 3.51-3.54, 2 Th 3.53, 4 Dy 3.54-3.56
Dy 0.7500 0.3734 0.8745  6 Er 3.51-3.54, 2 Th 3.53, 4 Dy 3.54-3.56
Er 0.2500 0.6263 0.4581  2 Th 3.50, 1 Dy 3.52, 7 Er 3.52-3.55, 2 Ho 3.54
Er 0.7500 0.8739 0.0414  2 Dy 3.51, 3 Ho 3.53-3.55, 6 Er 3.53-3.54, 1 Th 3.54
Er 0.7500 0.3753 0.2091  7 Er 3.52-3.54, 3 Dy 3.53-3.54, 2 Ho 3.56
Er 0.2500 0.6247 0.7909  7 Er 3.52-3.54, 3 Dy 3.53-3.54, 2 Ho 3.56
Er 0.2500 0.1261 0.9586  2 Dy 3.51, 3 Ho 3.53-3.55, 6 Er 3.53-3.54, 1 Th 3.54
Er 0.7500 0.3737 0.5419  2 Th 3.50, 1 Dy 3.52, 7 Er 3.52-3.55, 2 Ho 3.54
Th 0.2500 0.1253 0.6235  3 Ho 3.48-3.50, 3 Er 3.50-3.54, 4 Th 3.52-3.54, 2 Dy 3.53
Th 0.7500 0.8747 0.3765  3 Ho 3.48-3.50, 3 Er 3.50-3.54, 4 Th 3.52-3.54, 2 Dy 3.53

The value obtained for the formation energy is 0.024 eV/atom. As for the space group: P2_1/m, No. 11. The calculation puts the volume at 373.5 Å³/cell.


(2)
TmZrZnRe | PBE-GGA | optimized geometry

Cell lengths 4.7826, 4.7826, 4.7826 Å; angles 60.00, 60.00, 60.00 degrees
Closest atoms and distances in Å follow each position.
Positions (direct):
Zr 0.0000 0.0000 0.0000  4 Zn 2.93, 4 Re 2.93
Re 0.2500 0.2500 0.2500  4 Zr 2.93, 4 Tm 2.93
Tm 0.5000 0.5000 0.5000  4 Zn 2.93, 4 Re 2.93
Zn 0.7500 0.7500 0.7500  4 Tm 2.93, 4 Zr 2.93

The value obtained for the formation energy is -0.149 eV/atom. As for the space group: F-43m, No. 216. The calculation puts the volume at 77.4 Å³/cell.


(3)
CaAc8Tc2 | PBE-GGA | optimized geometry

Cell lengths 7.0374, 9.3039, 7.2974 Å; angles 106.12, 81.38, 97.84 degrees
Closest atoms and distances in Å follow each position.
Positions (direct):
Ac 0.4507 0.8975 0.2209  1 Tc 2.77
Ac 0.3343 0.6577 0.6595  2 Tc 2.90-3.14
Ac 0.7733 0.5593 0.8994  2 Tc 2.97-3.09
Ac 0.1005 0.2136 0.5508  1 Tc 2.78
Ac 0.6657 0.3423 0.3405  2 Tc 2.90-3.14
Ac 0.2267 0.4407 0.1006  2 Tc 2.97-3.09
Ac 0.5493 0.1025 0.7791  1 Tc 2.77
Ac 0.8995 0.7864 0.4492  1 Tc 2.78
Tc 0.4356 0.3531 0.7080  5 Ac 2.77-3.09
Tc 0.5644 0.6469 0.2920  5 Ac 2.77-3.09
Ca 0.0000 0.0000 0.0000  12 Ac 4.05-4.21

The value obtained for the formation energy is 0.072 eV/atom. As for the space group: P-1, No. 2. The calculation puts the volume at 451.6 Å³/cell.


(4)
DyThMg | PBE-GGA | optimized geometry

Cell lengths 3.5508, 3.5508, 13.8508 Å; angles 90.00, 90.00, 90.00 degrees
Closest atoms and distances in Å follow each position.
Positions (direct):
Mg 0.5000 0.0000 0.0663  4 Mg 3.11, 4 Dy 3.39
Mg 0.0000 0.5000 0.9337  4 Mg 3.11, 4 Dy 3.39
Th 0.5000 0.0000 0.4104  8 Th 3.53-3.55, 4 Dy 3.54
Th 0.0000 0.5000 0.5896  8 Th 3.53-3.55, 4 Dy 3.54
Dy 0.0000 0.5000 0.2306  4 Mg 3.39, 4 Th 3.54, 4 Dy 3.55
Dy 0.5000 0.0000 0.7694  4 Mg 3.39, 4 Th 3.54, 4 Dy 3.55

The value obtained for the formation energy is -0.024 eV/atom. As for the space group: P4/nmm, No. 129. The value obtained for the energy above the most stable polymorph in this dataset is 0.0000 eV/atom. The calculation puts the volume at 174.6 Å³/cell.


(5)
Nd4SmAl2 | PBE-GGA | optimized geometry

Cell lengths 5.1712, 5.1712, 10.7208 Å; angles 76.04, 76.04, 60.00 degrees
Closest atoms and distances in Å follow each position.
Positions (direct):
Nd 0.8967 0.8967 0.3099  3 Al 3.18
Nd 0.2977 0.2977 0.1070  4 Al 3.14-3.19
Nd 0.1033 0.1033 0.6901  3 Al 3.18
Nd 0.7023 0.7023 0.8930  4 Al 3.14-3.19
Sm 0.5000 0.5000 0.5000  2 Al 3.06
Al 0.5991 0.5991 0.2026  1 Sm 3.06, 7 Nd 3.14-3.19
Al 0.4009 0.4009 0.7974  1 Sm 3.06, 7 Nd 3.14-3.19

The value obtained for the formation energy is 0.098 eV/atom. As for the space group: R-3m, No. 166. The value obtained for the energy above the most stable polymorph in this dataset is 0.2681 eV/atom. The calculation puts the volume at 238.5 Å³/cell.


(6)
SiSb | PBE-GGA | optimized geometry

Cell lengths 5.1907, 5.1907, 11.4225 Å; angles 90.00, 90.00, 120.00 degrees
Closest atoms and distances in Å follow each position.
Positions (direct):
Si 0.6667 0.3333 0.6536  1 Si 2.51
Si 0.0000 0.0000 0.8922  1 Si 2.46, 1 Sb 2.73
Si 0.3333 0.6667 0.3464  1 Si 2.51
Si 0.6667 0.3333 0.8737  1 Si 2.51, 1 Sb 2.72
Si 0.3333 0.6667 0.1263  1 Si 2.51, 1 Sb 2.72
Si 0.0000 0.0000 0.1078  1 Si 2.46, 1 Sb 2.73
Sb 0.6667 0.3333 0.1117  7 Si 2.72-3.00
Sb 0.3333 0.6667 0.6050  4 Si 2.95-3.05, 4 Sb 3.05-3.24
Sb 0.0000 0.0000 0.3466  4 Si 2.73-3.00, 3 Sb 3.05
Sb 0.3333 0.6667 0.8883  7 Si 2.72-3.00
Sb 0.0000 0.0000 0.6534  4 Si 2.73-3.00, 3 Sb 3.05
Sb 0.6667 0.3333 0.3950  4 Si 2.95-3.05, 4 Sb 3.05-3.24

As for the space group: P-3m1, No. 164. Its raw formation energy is 415.7 meV/atom. The calculation puts the volume at 266.5 Å³/cell.